Compound: Rb5FeO4
Source: Alexandria
Functional: GGA+U
Structure: optimized geometry

a = 11.961 Å, b = 7.401 Å, c = 13.471 Å
α = 56.65°, β = 90.00°, γ = 90.00°
Each line ends with the local moment (μB).
Positions (direct):
Rb: 0.303 0.606 0.250  0.01
Rb: 0.312 0.865 0.896  0.00
Rb: 0.562 0.260 0.449  0.00
Rb: 0.062 0.341 0.449  0.00
Rb: 0.311 0.157 0.604  0.00
Rb: 0.562 0.659 0.051  0.00
Rb: 0.062 0.740 0.051  0.00
Rb: 0.811 0.843 0.896  0.00
Rb: 0.812 0.135 0.604  0.00
Rb: 0.803 0.394 0.250  0.01
Rb: 0.197 0.606 0.750  0.01
Rb: 0.188 0.865 0.396  0.00
Rb: 0.189 0.157 0.104  0.00
Rb: 0.938 0.260 0.949  0.00
Rb: 0.438 0.341 0.949  0.00
Rb: 0.689 0.843 0.396  0.00
Rb: 0.938 0.659 0.551  0.00
Rb: 0.438 0.740 0.551  0.00
Rb: 0.688 0.135 0.104  0.00
Rb: 0.697 0.394 0.750  0.01
Fe: 0.082 0.199 0.750  4.18
Fe: 0.418 0.199 0.250  4.18
Fe: 0.582 0.801 0.750  4.18
Fe: 0.918 0.801 0.250  4.18
O: 0.077 0.748 0.250  0.14
O: 0.147 0.163 0.894  0.13
O: 0.853 0.549 0.394  0.13
O: 0.114 0.947 0.750  0.15
O: 0.353 0.451 0.106  0.13
O: 0.614 0.053 0.750  0.15
O: 0.577 0.252 0.250  0.14
O: 0.647 0.837 0.606  0.13
O: 0.353 0.163 0.394  0.13
O: 0.423 0.748 0.750  0.14
O: 0.386 0.947 0.250  0.15
O: 0.647 0.549 0.894  0.13
O: 0.886 0.053 0.250  0.15
O: 0.147 0.451 0.606  0.13
O: 0.853 0.837 0.106  0.13
O: 0.923 0.252 0.750  0.14

Its space group is Pnma. The magnetization is 5.00 μB/f.u. The calculation puts the distance to the lowest polymorph of the same formula at 4.0 kJ per mole of atoms.